Density functional theory data (meta-GGA SCAN) for GaIr3W at its PBEsol-relaxed geometry.

The value obtained for the formation energy is 1.65 eV/atom. The calculation puts the density of states at the Fermi level at 4.76 states/eV per cell. The total energy comes out at -58.212 eV/atom.

The structure belongs to space group Pm-3m (No. 221); the cell edges are 4.410, 4.410 and 4.410 Å and the angles 90.00°, 90.00° and 90.00°. The distinct sites, in fractional coordinates, are Ga at (0.000, 0.000, 0.000), Ir at (0.000, 0.000, 0.500) and W at (0.500, 0.500, 0.500).